## SmHgPb (PBE)

Data for crystalline SmHgPb at its relaxed geometry.

Computed properties:
The calculation puts the total energy at -3.05 eV/atom. For the total moment, the calculation gives 0.0 μB per cell.

Structure (CIF):
```
data_SmHgPb
_space_group_name_H-M_alt 'P 1'
_space_group_IT_number 1
_cell_length_a 5.141
_cell_length_b 5.141
_cell_length_c 5.141
_cell_angle_alpha 60.00
_cell_angle_beta 60.00
_cell_angle_gamma 60.00
loop_
_space_group_symop_operation_xyz
'x,y,z'
loop_
_atom_site_label
_atom_site_type_symbol
_atom_site_fract_x
_atom_site_fract_y
_atom_site_fract_z
Sm1 Sm 0.000 0.000 0.000
Hg1 Hg 0.500 0.500 0.500
Pb1 Pb 0.750 0.750 0.750
```